No. 1
Material: K3VPCO7
Method: DFT, PBE with a Hubbard U
State: optimized geometry

The structure in POSCAR format:
```
K3VPCO7
1.0
5.7072 0.0002 0.0000
0.0034 9.6635 0.0000
0.0000 0.0000 6.9807
K V P C O
6 2 2 2 14
Direct
0.7560 0.0712 0.2500
0.2440 0.9288 0.7500
0.2551 0.2932 0.0099
0.2551 0.2932 0.4901
0.7449 0.7068 0.5099
0.7449 0.7068 0.9901
0.2426 0.6551 0.2500
0.7574 0.3449 0.7500
0.7378 0.4166 0.2500
0.2622 0.5834 0.7500
0.7438 0.0763 0.7500
0.2562 0.9237 0.2500
0.2608 0.0568 0.2500
0.7392 0.9432 0.7500
0.9418 0.1456 0.7500
0.0583 0.8545 0.2500
0.5505 0.1506 0.7500
0.4495 0.8494 0.2500
0.4931 0.4879 0.2500
0.5069 0.5121 0.7500
0.0658 0.4729 0.7500
0.9342 0.5271 0.2500
0.7590 0.3223 0.0690
0.7590 0.3223 0.4310
0.2409 0.6777 0.5690
0.2409 0.6777 0.9310
```

volume = 14.81 Å³ per atom
uncorrected energy = -6.624 eV/atom
SG = P2_1/m

---

No. 2
Material: K2VPCO7
Method: DFT, PBE with a Hubbard U
State: optimized geometry

The structure in POSCAR format:
```
K2VPCO7
1.0
5.6250 0.0000 -0.0451
0.0000 6.7198 0.0000
-0.1020 0.0000 9.8271
K V P C O
4 2 2 2 14
Direct
0.2508 0.4764 0.7651
0.2508 0.0236 0.7651
0.7492 0.5236 0.2349
0.7492 0.9764 0.2349
0.7807 0.7500 0.6400
0.2193 0.2500 0.3600
0.7214 0.2500 0.5666
0.2786 0.7500 0.4334
0.7373 0.7500 0.8927
0.2627 0.2500 0.1073
0.2876 0.2500 0.9814
0.7124 0.7500 0.0186
0.9440 0.7500 0.8311
0.0560 0.2500 0.1689
0.5569 0.7500 0.8035
0.4431 0.2500 0.1965
0.1181 0.7500 0.5609
0.8819 0.2500 0.4391
0.4520 0.2500 0.5258
0.5480 0.7500 0.4742
0.7746 0.0604 0.6535
0.7746 0.4396 0.6535
0.2254 0.5604 0.3465
0.2254 0.9396 0.3465
```

volume = 15.48 Å³ per atom
uncorrected energy = -6.937 eV/atom
SG = P2_1/m